VASP calculation (PBE+U) on a relaxed structure of CrCdO. Values from VASP.

The structure in Quantum ESPRESSO input format:
```
&SYSTEM
  ibrav = 0, nat = 6, ntyp = 3
/
ATOMIC_SPECIES
Cr 52.00 Cr.upf
Cd 112.41 Cd.upf
O 16.00 O.upf
ATOMIC_POSITIONS crystal
Cr 0.132 0.132 0.395
Cr 0.868 0.868 0.605
Cd 0.293 0.293 0.882
Cd 0.707 0.707 0.118
O 0.224 0.224 0.677
O 0.776 0.776 0.323
CELL_PARAMETERS angstrom
2.618 -1.512 0.000
2.618 1.512 0.000
-1.723 0.000 12.489
```

Theoretical density = 6.06 g/cm³
Raw total energy = -5.169 eV/atom
Density of states at the Fermi level = 0.70 states/eV/f.u.